1.
## BaMgAs2 (PBE)

Data for an optimized crystal structure of BaMgAs2.

a b c (Å): 4.9553 4.9553 4.3043
angles (deg): 90.00 90.00 90.00
Space group P4/mmm (No. 123)
One atom of each set of equivalent atoms:
1 Ba 0.0000 0.0000 0.0000 [1 per cell]
2 Mg 0.5000 0.5000 0.0000 [1 per cell]
3 As 0.0000 0.5000 0.5000 [2 per cell]

- formation energy from the elements (eV per atom) = -0.400

2.
## CaBW2I (PBE)

Data for an optimized crystal structure of CaBW2I.

a b c (Å): 4.9075 4.9075 5.7208
angles (deg): 90.00 90.00 90.00
Space group P4/mmm (No. 123)
One atom of each set of equivalent atoms:
1 Ca 0.0000 0.0000 0.0000 [1 per cell]
2 B 0.5000 0.5000 0.0000 [1 per cell]
3 W 0.0000 0.5000 0.5000 [2 per cell]
4 I 0.0000 0.0000 0.5000 [1 per cell]

3.
## Tm2Ta2Ge2C (PBE)

Data for an optimized crystal structure of Tm2Ta2Ge2C.

a b c (Å): 4.2376 4.2376 14.8578
angles (deg): 90.00 90.00 90.00
Space group I4/mmm (No. 139)
One atom of each set of equivalent atoms:
1 Tm 0.0000 0.0000 0.1663 [4 per cell]
2 Ta 0.0000 0.5000 0.0000 [4 per cell]
3 Ge 0.0000 0.0000 0.3692 [4 per cell]
4 C 0.0000 0.0000 0.0000 [2 per cell]

- formation energy from the elements (eV per atom) = -0.602

Computed values of DOS(E_F) (unit: states/eV/f.u.) for the preceding records, in sequence: 2.01, 8.52, 3.90.
Computed values of uncorrected energy (unit: eV/cell) for the preceding records, in sequence: -14.416, -21.794, -110.638.